LiScHgTe3: relaxed, PBE.

Cell and atoms, written as POSCAR:
```
LiScHgTe3
1.0
2.088 -7.150 0.000
2.088 7.150 0.000
0.000 0.000 11.361
Hg Li Sc Te
2 2 2 6
direct
0.525 0.475 0.250
0.475 0.525 0.750
0.206 0.794 0.250
0.794 0.206 0.750
0.000 0.000 0.000
0.000 0.000 0.500
0.642 0.358 0.052
0.892 0.108 0.250
0.642 0.358 0.448
0.358 0.642 0.552
0.108 0.892 0.750
0.358 0.642 0.948
```

Volume   28.265 Å³ per atom
Total energy   -3.691 eV/atom
SG   No. 63
Crystal system   orthorhombic